No. 1
Material: La4CN2
Method: DFT, GGA-PBE
State: relaxed

Properties
Final energy = -100.8 eV/cell
DOS(E_F) = 4.6 states/eV/f.u.
Formation energy (no corrections) = -690 meV per atom
Space-group type = Cmcm (63)
Energy above the lowest structure with this stoichiometry = 0 meV per atom
Total moment = 0.00 μB/atom

a = 3.7316 Å, b = 6.3980 Å, c = 12.5969 Å
α = 90.00°, β = 90.00°, γ = 106.96°
Fractional positions:
1 C 0.5913 0.1826 0.7500
2 C 0.4087 0.8174 0.2500
3 N 0.1438 0.2876 0.4430
4 N 0.8562 0.7124 0.9430
5 N 0.1438 0.2876 0.0570
6 N 0.8562 0.7124 0.5570
7 La 0.7765 0.5529 0.1186
8 La 0.7765 0.5529 0.3814
9 La 0.2235 0.4471 0.8814
10 La 0.2235 0.4471 0.6186
11 La 0.9512 0.9023 0.7500
12 La 0.0488 0.0977 0.2500
13 La 0.5000 0.0000 0.0000
14 La 0.5000 0.0000 0.5000


No. 2
Material: K2Ta2Se5
Method: DFT, GGA-PBE
State: relaxed

Properties
Final energy = -50.4 eV/cell
DOS(E_F) = 2.5 states/eV/f.u.
Formation energy (no corrections) = -786 meV per atom
Space-group type = C2/m (12)
Total moment = 0.00 μB/atom

a = 4.9071 Å, b = 8.0553 Å, c = 8.1198 Å
α = 99.42°, β = 90.00°, γ = 107.73°
Fractional positions:
1 K 0.4386 0.8772 0.6973
2 K 0.5614 0.1228 0.3027
3 Ta 0.1434 0.2869 0.9004
4 Ta 0.8566 0.7131 0.0996
5 Se 0.3159 0.6317 0.0089
6 Se 0.6841 0.3683 0.9911
7 Se 0.1179 0.2357 0.6053
8 Se 0.8821 0.7643 0.3947
9 Se 0.0000 0.0000 0.0000